Record 1
A plane-wave DFT calculation with meta-GGA SCAN was carried out for a PBEsol-optimized structure of Ta2IrOs.

Properties
As for the symmetry: Cmmm, No. 65. The formation energy comes out at -195 kJ/mol of formula units. As for the crystal system: orthorhombic.

abc: 2.918 4.706 4.706
angles: 103.46 90.00 90.00
Atoms (fractional coordinates):
Ir: 0.500 0.000 0.000
Ta: 0.000 0.000 0.500
Ta: 0.000 0.500 0.000
Os: 0.500 0.500 0.500



Record 2
A plane-wave DFT calculation with meta-GGA SCAN was carried out for a PBEsol-optimized structure of Ta2IrOs.

Properties
As for the symmetry: Pmmm, No. 47. The formation energy comes out at -197 kJ/mol of formula units. As for the crystal system: orthorhombic.

abc: 2.946 3.658 5.838
angles: 90.00 90.00 90.00
Atoms (fractional coordinates):
Ta: 0.000 0.000 0.252
Ta: 0.000 0.000 0.748
Os: 0.500 0.500 0.500
Ir: 0.500 0.500 0.000



Record 3
A plane-wave DFT calculation with meta-GGA SCAN was carried out for a PBEsol-optimized structure of TaIrOs2.

Properties
As for the symmetry: P4/mmm, No. 123. The formation energy comes out at -165 kJ/mol of formula units. As for the crystal system: tetragonal. The calculation puts the relative energy among the computed polymorphs at 0.0 meV per atom.

abc: 3.884 3.884 3.894
angles: 90.00 90.00 90.00
Atoms (fractional coordinates):
Ir: 0.000 0.000 0.500
Ta: 0.500 0.500 0.500
Os: 0.000 0.500 0.000
Os: 0.500 0.000 0.000



Record 4
A plane-wave DFT calculation with meta-GGA SCAN was carried out for a PBEsol-optimized structure of TaIr2Os.

Properties
As for the symmetry: P4/mmm, No. 123. The formation energy comes out at -248 kJ/mol of formula units. As for the crystal system: tetragonal. The calculation puts the relative energy among the computed polymorphs at 0.0 meV per atom.

abc: 3.883 3.883 3.884
angles: 90.00 90.00 90.00
Atoms (fractional coordinates):
Ir: 0.000 0.500 0.000
Ir: 0.500 0.000 0.000
Os: 0.500 0.500 0.500
Ta: 0.000 0.000 0.500



Record 5
A plane-wave DFT calculation with meta-GGA SCAN was carried out for a PBEsol-optimized structure of TaIr2Os.

Properties
As for the symmetry: C2/m, No. 12. The formation energy comes out at -123 kJ/mol of formula units. As for the crystal system: monoclinic. The calculation puts the relative energy among the computed polymorphs at 324.8 meV per atom.

abc: 2.786 4.728 4.776
angles: 100.05 106.96 90.00
Atoms (fractional coordinates):
Os: 0.500 0.000 0.000
Ir: 0.752 0.759 0.505
Ir: 0.248 0.241 0.495
Ta: 0.000 0.500 0.000



Record 6
A plane-wave DFT calculation with meta-GGA SCAN was carried out for a PBEsol-optimized structure of TcIr2Os.

Properties
As for the symmetry: Pmmm, No. 47. The formation energy comes out at -47 kJ/mol of formula units. As for the crystal system: orthorhombic. The calculation puts the relative energy among the computed polymorphs at 84.0 meV per atom.

abc: 2.688 3.856 5.384
angles: 90.00 90.00 90.00
Atoms (fractional coordinates):
Os: 0.500 0.500 0.000
Ir: 0.000 0.000 0.750
Ir: 0.000 0.000 0.250
Tc: 0.500 0.500 0.500



Record 7
A plane-wave DFT calculation with meta-GGA SCAN was carried out for a PBEsol-optimized structure of TcIr2Os.

Properties
As for the symmetry: P4/mmm, No. 123. The formation energy comes out at -52 kJ/mol of formula units. As for the crystal system: tetragonal. The calculation puts the relative energy among the computed polymorphs at 69.7 meV per atom.

abc: 3.806 3.806 3.854
angles: 90.00 90.00 90.00
Atoms (fractional coordinates):
Ir: 0.000 0.500 0.000
Ir: 0.500 0.000 0.000
Tc: 0.000 0.000 0.500
Os: 0.500 0.500 0.500



Record 8
A plane-wave DFT calculation with meta-GGA SCAN was carried out for a PBEsol-optimized structure of TcIr2Os.

Properties
As for the symmetry: Pmm2, No. 25. The formation energy comes out at -79 kJ/mol of formula units. As for the crystal system: orthorhombic. The calculation puts the relative energy among the computed polymorphs at 0.0 meV per atom.

abc: 2.711 4.330 4.746
angles: 90.00 90.00 90.00
Atoms (fractional coordinates):
Os: 0.500 0.000 0.539
Ir: 0.000 0.000 0.041
Ir: 0.000 0.500 0.708
Tc: 0.500 0.500 0.211



Record 9
A plane-wave DFT calculation with meta-GGA SCAN was carried out for a PBEsol-optimized structure of TcIr2Os.

Properties
As for the symmetry: I-4m2, No. 119. The formation energy comes out at -42 kJ/mol of formula units. As for the crystal system: tetragonal. The calculation puts the relative energy among the computed polymorphs at 96.2 meV per atom.

abc: 3.843 3.843 4.658
angles: 114.36 114.36 90.00
Atoms (fractional coordinates):
Os: 0.500 0.500 0.000
Ir: 0.250 0.750 0.500
Ir: 0.000 0.000 0.000
Tc: 0.750 0.250 0.500



Record 10
A plane-wave DFT calculation with meta-GGA SCAN was carried out for a PBEsol-optimized structure of TcIr2Os.

Properties
As for the symmetry: Cmmm, No. 65. The formation energy comes out at -46 kJ/mol of formula units. As for the crystal system: orthorhombic. The calculation puts the relative energy among the computed polymorphs at 85.1 meV per atom.

abc: 2.689 4.701 4.701
angles: 110.13 90.00 90.00
Atoms (fractional coordinates):
Ir: 0.000 0.000 0.500
Ir: 0.000 0.500 0.000
Tc: 0.500 0.500 0.500
Os: 0.500 0.000 0.000



Record 11
A plane-wave DFT calculation with meta-GGA SCAN was carried out for a PBEsol-optimized structure of TcIr2Os.

Properties
As for the symmetry: I4/mmm, No. 139. The formation energy comes out at -49 kJ/mol of formula units. As for the crystal system: tetragonal. The calculation puts the relative energy among the computed polymorphs at 79.2 meV per atom.

abc: 3.807 3.807 4.698
angles: 113.88 113.88 90.03
Atoms (fractional coordinates):
Os: 0.000 0.000 0.000
Ir: 0.750 0.250 0.500
Ir: 0.250 0.750 0.500
Tc: 0.500 0.500 0.000



Record 12
A plane-wave DFT calculation with meta-GGA SCAN was carried out for a PBEsol-optimized structure of TeIr2Os.

Properties
As for the symmetry: Cmmm, No. 65. The value obtained for the formation energy from raw total energies is 0.8380 eV per atom. As for the crystal system: orthorhombic.

abc: 2.797 2.831 9.537
angles: 90.00 90.00 119.61
Last column: magnetic moment on the atom in μB.
Atoms (fractional coordinates):
Te: 0.500 0.000 0.000  0.00
Ir: 0.000 0.000 0.733  0.12
Ir: 0.000 0.000 0.267  0.12
Os: 0.500 0.000 0.500  0.75



Record 13
A plane-wave DFT calculation with meta-GGA SCAN was carried out for a PBEsol-optimized structure of Te2IrOs.

Properties
As for the symmetry: I4/mmm, No. 139. The value obtained for the formation energy from raw total energies is 0.8173 eV per atom. As for the crystal system: tetragonal. The calculation puts the relative energy among the computed polymorphs at 329.2 meV per atom.

abc: 4.461 4.807 4.461
angles: 117.65 90.00 117.65
Atoms (fractional coordinates):
Te: 0.750 0.500 0.250
Te: 0.250 0.500 0.750
Ir: 0.500 0.000 0.500
Os: 0.000 0.000 0.000



Record 14
A plane-wave DFT calculation with meta-GGA SCAN was carried out for a PBEsol-optimized structure of TeIrOs2.

Properties
As for the symmetry: I4/mmm, No. 139. The value obtained for the formation energy from raw total energies is 0.7670 eV per atom. As for the crystal system: tetragonal.

abc: 4.089 4.699 4.089
angles: 115.79 90.00 115.79
Atoms (fractional coordinates):
Os: 0.750 0.500 0.250
Os: 0.250 0.500 0.750
Te: 0.500 0.000 0.500
Ir: 0.000 0.000 0.000



Record 15
A plane-wave DFT calculation with meta-GGA SCAN was carried out for a PBEsol-optimized structure of Te2IrOs.

Properties
As for the symmetry: P4mm, No. 99. The value obtained for the formation energy from raw total energies is 0.4881 eV per atom. As for the crystal system: tetragonal. The calculation puts the relative energy among the computed polymorphs at 0.0 meV per atom.

abc: 3.163 3.163 8.109
angles: 90.00 90.00 90.00
Atoms (fractional coordinates):
Ir: 0.000 0.000 0.504
Te: 0.000 0.000 0.926
Te: 0.500 0.500 0.326
Os: 0.500 0.500 0.743



| no. | DOS(E_F) (states/eV/cell) |
| --- | --- |
| 1 | 3.56 |
| 2 | 3.29 |
| 3 | 3.00 |
| 4 | 2.10 |
| 5 | 2.65 |
| 6 | 2.46 |
| 7 | 2.90 |
| 8 | 2.65 |
| 9 | 3.07 |
| 10 | 3.03 |
| 11 | 3.26 |
| 12 | 2.67 |
| 13 | 2.73 |
| 14 | 2.99 |
| 15 | 2.50 |